The following is a DFT calculation (PBE) of a geometry-optimized ScZnB2F structure.

Cell lengths 4.697, 4.697, 3.926 Å; angles 90.00, 90.00, 90.00 degrees
Space group P4/mmm (No. 123)
Inequivalent atoms, fractional coordinates:
Sc  0.000  0.000  0.000 [1 per cell]
Zn  0.500  0.500  0.500 [1 per cell]
B  0.000  0.500  0.000 [2 per cell]
F  0.000  0.000  0.500 [1 per cell]

Results
Raw total energy (eV/atom): -4.112
Fermi-level density of states (states/eV per cell): 3.41

The following is a DFT calculation (PBE) of a geometry-optimized Pm2SmTm5Sc structure.

Cell lengths 5.539, 19.610, 10.374 Å; angles 90.00, 90.00, 90.00 degrees
Space group Cmc2_1 (No. 36)
Inequivalent atoms, fractional coordinates:
Pm  0.000  0.112  0.000 [4 per cell]
Pm  0.000  0.115  0.419 [4 per cell]
Sm  0.000  0.413  0.142 [4 per cell]
Tm  0.000  0.018  0.705 [4 per cell]
Tm  0.000  0.277  0.007 [4 per cell]
Tm  0.000  0.298  0.390 [4 per cell]
Tm  0.000  0.377  0.704 [4 per cell]
Tm  0.000  0.482  0.424 [4 per cell]
Sc  0.000  0.197  0.699 [4 per cell]

Results
Energy of formation (eV/atom): 0.16
Raw total energy (eV/atom): -4.607
Fermi-level density of states (states/eV per cell): 48.51

Please write out number 1 again, unchanged.
The following is a DFT calculation (PBE) of a geometry-optimized ScZnB2F structure.

Cell lengths 4.697, 4.697, 3.926 Å; angles 90.00, 90.00, 90.00 degrees
Space group P4/mmm (No. 123)
Inequivalent atoms, fractional coordinates:
Sc  0.000  0.000  0.000 [1 per cell]
Zn  0.500  0.500  0.500 [1 per cell]
B  0.000  0.500  0.000 [2 per cell]
F  0.000  0.000  0.500 [1 per cell]

Results
Raw total energy (eV/atom): -4.112
Fermi-level density of states (states/eV per cell): 3.41